[1]
{"formula": "BaSrRh", "functional": "GGA-PBE", "state": "relaxed", "lattice_angstrom": [[-3.451, 1.036, -2.819], [0.933, -5.261, -3.075], [-5.737, -2.521, 6.097]], "species": ["Ba", "Ba", "Sr", "Sr", "Rh", "Rh"], "fractional_positions": [[0.750, 0.800, 0.682], [0.250, 0.200, 0.318], [0.750, 0.667, 0.149], [0.250, 0.333, 0.851], [0.750, 0.095, 0.027], [0.250, 0.905, 0.973]], "de_polymorph_ev_per_atom": 0.0000, "magmom_total_mub_per_cell": 0.00, "e_form_ev_per_atom": -0.18, "vol_a3_per_atom": 40.252}



[2]
{"formula": "BaSr3Rh", "functional": "GGA-PBE", "state": "relaxed", "lattice_angstrom": [[4.874, 0.000, 0.000], [0.000, 4.874, 0.000], [0.000, 0.000, 11.141]], "species": ["Sr", "Sr", "Sr", "Rh", "Ba"], "fractional_positions": [[0.000, 0.000, 0.110], [0.500, 0.000, 0.427], [0.000, 0.500, 0.427], [0.500, 0.500, 0.588], [0.000, 0.000, 0.712]], "de_polymorph_ev_per_atom": 0.3753, "magmom_total_mub_per_cell": 0.00, "e_form_ev_per_atom": 0.19, "vol_a3_per_atom": 52.936}



[3]
{"formula": "BaSr3Rh", "functional": "GGA-PBE", "state": "relaxed", "lattice_angstrom": [[-1.617, 8.047, 2.673], [-7.399, 0.955, -0.387], [-1.899, -2.658, 6.863]], "species": ["Sr", "Sr", "Sr", "Sr", "Sr", "Sr", "Rh", "Rh", "Ba", "Ba"], "fractional_positions": [[0.536, 0.457, 0.628], [0.275, 0.468, 0.119], [0.041, 0.474, 0.617], [0.793, 0.457, 0.131], [0.929, 0.933, 0.888], [0.673, 0.942, 0.373], [0.963, 0.701, 0.251], [0.244, 0.702, 0.755], [0.417, 0.946, 0.875], [0.160, 0.942, 0.387]], "de_polymorph_ev_per_atom": 0.0090, "magmom_total_mub_per_cell": 0.00, "e_form_ev_per_atom": -0.18, "vol_a3_per_atom": 46.304}



[4]
{"formula": "BaSr3Rh", "functional": "GGA-PBE", "state": "relaxed", "lattice_angstrom": [[-3.082, 3.031, 7.500], [0.376, -6.925, 2.962], [6.517, 3.714, 1.194]], "species": ["Sr", "Sr", "Sr", "Sr", "Sr", "Sr", "Rh", "Rh", "Ba", "Ba"], "fractional_positions": [[0.474, 0.461, 0.215], [0.215, 0.467, 0.703], [0.986, 0.471, 0.202], [0.736, 0.455, 0.713], [0.984, 0.932, 0.705], [0.736, 0.944, 0.194], [0.964, 0.702, 0.953], [0.241, 0.703, 0.458], [0.476, 0.946, 0.697], [0.218, 0.942, 0.207]], "de_polymorph_ev_per_atom": 0.0068, "magmom_total_mub_per_cell": 0.00, "e_form_ev_per_atom": -0.18, "vol_a3_per_atom": 46.542}



[5]
{"formula": "BaSr2Rh", "functional": "GGA-PBE", "state": "relaxed", "lattice_angstrom": [[0.000, 4.056, 4.056], [4.056, 0.000, 4.056], [4.056, 4.056, 0.000]], "species": ["Sr", "Sr", "Rh", "Ba"], "fractional_positions": [[0.250, 0.250, 0.250], [0.750, 0.750, 0.750], [0.000, 0.000, 0.000], [0.500, 0.500, 0.500]], "de_polymorph_ev_per_atom": 0.4044, "magmom_total_mub_per_cell": 0.00, "e_form_ev_per_atom": 0.21, "vol_a3_per_atom": 33.365}



[6]
{"formula": "BaSrRh", "functional": "GGA-PBE", "state": "relaxed", "lattice_angstrom": [[5.211, 0.000, 0.000], [2.606, 4.513, 0.000], [2.606, 1.504, 4.255]], "species": ["Ba", "Rh", "Sr"], "fractional_positions": [[0.000, 0.000, 0.000], [0.500, 0.500, 0.500], [0.750, 0.750, 0.750]], "de_polymorph_ev_per_atom": 0.6570, "magmom_total_mub_per_cell": 0.00, "e_form_ev_per_atom": 0.48, "vol_a3_per_atom": 33.357}



[7]
{"formula": "BaSr3Rh", "functional": "GGA-PBE", "state": "relaxed", "lattice_angstrom": [[7.318, 0.000, 0.000], [0.000, 11.202, 0.000], [0.000, 0.000, 11.227]], "species": ["Sr", "Sr", "Sr", "Sr", "Sr", "Sr", "Sr", "Sr", "Sr", "Sr", "Sr", "Sr", "Rh", "Rh", "Rh", "Rh", "Ba", "Ba", "Ba", "Ba"], "fractional_positions": [[0.979, 0.905, 0.829], [0.521, 0.405, 0.329], [0.521, 0.095, 0.329], [0.021, 0.405, 0.171], [0.021, 0.095, 0.171], [0.479, 0.595, 0.671], [0.479, 0.905, 0.671], [0.979, 0.595, 0.829], [0.676, 0.250, 0.650], [0.824, 0.750, 0.150], [0.324, 0.750, 0.350], [0.176, 0.250, 0.850], [0.837, 0.250, 0.396], [0.663, 0.750, 0.896], [0.163, 0.750, 0.604], [0.337, 0.250, 0.104], [0.000, 0.000, 0.500], [0.500, 0.500, 0.000], [0.500, 0.000, 0.000], [0.000, 0.500, 0.500]], "de_polymorph_ev_per_atom": 0.1608, "magmom_total_mub_per_cell": 0.00, "e_form_ev_per_atom": -0.02, "vol_a3_per_atom": 46.015}



[8]
{"formula": "BaSr2Rh", "functional": "GGA-PBE", "state": "relaxed", "lattice_angstrom": [[3.812, 0.000, 0.000], [0.000, 3.812, 0.000], [0.000, 0.000, 10.811]], "species": ["Sr", "Sr", "Rh", "Ba"], "fractional_positions": [[0.000, 0.000, 0.841], [0.000, 0.000, 0.159], [0.500, 0.500, 0.000], [0.500, 0.500, 0.500]], "de_polymorph_ev_per_atom": 0.1377, "magmom_total_mub_per_cell": 0.00, "e_form_ev_per_atom": -0.05, "vol_a3_per_atom": 39.267}



[9]
{"formula": "BaSr3Rh", "functional": "GGA-PBE", "state": "relaxed", "lattice_angstrom": [[1.946, 3.390, 10.679], [-8.074, 5.564, 5.760], [-5.350, -5.093, 8.647]], "species": ["Sr", "Sr", "Sr", "Sr", "Sr", "Sr", "Sr", "Sr", "Sr", "Sr", "Sr", "Sr", "Rh", "Rh", "Rh", "Rh", "Ba", "Ba", "Ba", "Ba"], "fractional_positions": [[0.821, 0.179, 0.179], [0.071, 0.429, 0.429], [0.429, 0.429, 0.071], [0.429, 0.071, 0.071], [0.071, 0.429, 0.071], [0.821, 0.179, 0.821], [0.429, 0.071, 0.429], [0.071, 0.071, 0.429], [0.179, 0.821, 0.179], [0.179, 0.821, 0.821], [0.179, 0.179, 0.821], [0.821, 0.821, 0.179], [0.125, 0.125, 0.125], [0.125, 0.625, 0.125], [0.625, 0.125, 0.125], [0.125, 0.125, 0.625], [0.625, 0.625, 0.625], [0.625, 0.125, 0.625], [0.125, 0.625, 0.625], [0.625, 0.625, 0.125]], "de_polymorph_ev_per_atom": 0.1984, "magmom_total_mub_per_cell": 1.66, "e_form_ev_per_atom": 0.01, "vol_a3_per_atom": 51.997}



[10]
{"formula": "BaSr2Rh", "functional": "GGA-PBE", "state": "relaxed", "lattice_angstrom": [[7.528, 0.013, -0.011], [6.486, 3.821, -0.011], [2.504, 0.685, 5.556]], "species": ["Ba", "Rh", "Sr", "Sr"], "fractional_positions": [[0.750, 0.750, 0.750], [0.250, 0.250, 0.250], [0.920, 0.920, 0.080], [0.580, 0.580, 0.420]], "de_polymorph_ev_per_atom": 0.1236, "magmom_total_mub_per_cell": 0.00, "e_form_ev_per_atom": -0.07, "vol_a3_per_atom": 39.864}



[11]
{"formula": "BaSr3Rh", "functional": "GGA-PBE", "state": "relaxed", "lattice_angstrom": [[-5.746, 2.960, -7.412], [-8.065, -8.351, 2.917], [-6.355, 4.922, -3.480]], "species": ["Sr", "Sr", "Sr", "Sr", "Sr", "Sr", "Rh", "Rh", "Ba", "Ba"], "fractional_positions": [[0.000, 0.494, 0.246], [0.000, 0.506, 0.754], [0.000, 0.006, 0.246], [0.000, 0.994, 0.754], [0.501, 0.250, 0.518], [0.499, 0.750, 0.482], [0.000, 0.250, 0.249], [0.000, 0.750, 0.751], [0.498, 0.250, 0.989], [0.502, 0.750, 0.011]], "de_polymorph_ev_per_atom": 0.0070, "magmom_total_mub_per_cell": 0.00, "e_form_ev_per_atom": -0.18, "vol_a3_per_atom": 46.524}



[12]
{"formula": "BaSr3Rh", "functional": "GGA-PBE", "state": "relaxed", "lattice_angstrom": [[-19.830, -15.037, -10.936], [0.359, -4.494, 5.529], [4.364, 8.383, 6.531]], "species": ["Sr", "Sr", "Sr", "Sr", "Sr", "Sr", "Sr", "Sr", "Sr", "Sr", "Sr", "Sr", "Rh", "Rh", "Rh", "Rh", "Ba", "Ba", "Ba", "Ba"], "fractional_positions": [[0.170, 0.253, 0.510], [0.830, 0.747, 0.490], [0.330, 0.753, 0.990], [0.670, 0.247, 0.010], [0.284, 0.263, 0.100], [0.716, 0.737, 0.900], [0.216, 0.763, 0.400], [0.784, 0.237, 0.600], [0.578, 0.770, 0.233], [0.422, 0.230, 0.767], [0.922, 0.270, 0.267], [0.078, 0.730, 0.733], [0.129, 0.504, 0.627], [0.871, 0.496, 0.373], [0.371, 0.004, 0.873], [0.629, 0.996, 0.127], [0.462, 0.761, 0.634], [0.538, 0.239, 0.366], [0.038, 0.261, 0.866], [0.962, 0.739, 0.134]], "de_polymorph_ev_per_atom": 0.0052, "magmom_total_mub_per_cell": 0.00, "e_form_ev_per_atom": -0.18, "vol_a3_per_atom": 46.307}



Q: What is the formula in the fifth record?
A: BaSr2Rh